[1]
Entry from Alexandria via LeMat-Bulk: a relaxed K2RbAgPd crystal (PBE-GGA).

Cell and atoms, written as POSCAR:
```
K2RbAgPd
1.0
6.110 0.000 0.000
0.000 6.110 0.000
0.000 0.000 5.484
K Rb Ag Pd
2 1 1 1
Direct
0.000 0.500 0.000
0.500 0.000 0.000
0.000 0.000 0.500
0.500 0.500 0.500
0.500 0.500 0.000
```

Output
E, eV/atom: -2.13
E_form, eV per atom: 0.1080
Calculated density, g/cm³: 3.07
Symmetry: P4/mmm (123)
Density of states at the Fermi level, states/eV/f.u.: 1.5

=====

[2]
Entry from Alexandria via LeMat-Bulk: a relaxed KAgPdS2 crystal (PBE-GGA).

Cell and atoms, written as POSCAR:
```
KAgPdS2
1.0
3.619 -7.388 0.000
3.619 7.388 0.000
0.000 0.000 4.620
K Ag Pd S
2 2 2 4
Direct
0.250 0.750 0.965
0.750 0.250 0.035
0.000 0.000 0.000
0.500 0.500 0.000
0.250 0.250 0.500
0.750 0.750 0.500
0.106 0.894 0.473
0.394 0.606 0.473
0.606 0.394 0.527
0.894 0.106 0.527
```

Output
E, eV/atom: -3.96
Calculated density, g/cm³: 4.27
Formation energy without anion corrections, eV per atom: -0.4773
Symmetry: Cmme (67)
Density of states at the Fermi level, states/eV/f.u.: 0.0

=====

[3]
Entry from Alexandria via LeMat-Bulk: a relaxed KAg2SbPd crystal (PBE-GGA).

Cell and atoms, written as POSCAR:
```
KAg2SbPd
1.0
5.209 0.000 0.000
0.000 5.209 0.000
0.000 0.000 6.529
K Ag Sb Pd
1 2 1 1
Direct
0.000 0.000 0.000
0.000 0.500 0.500
0.500 0.000 0.500
0.000 0.000 0.500
0.500 0.500 0.000
```

Output
E, eV/atom: -2.65
Calculated density, g/cm³: 4.53
Formation energy without anion corrections, eV per atom: 0.5681
Symmetry: P4/mmm (123)
Density of states at the Fermi level, states/eV/f.u.: 1.6

=====

[4]
Entry from Alexandria via LeMat-Bulk: a relaxed KAgPdSe2 crystal (PBE-GGA).

Cell and atoms, written as POSCAR:
```
KAgPdSe2
1.0
3.092 -6.900 0.000
3.092 6.900 0.000
0.000 0.000 5.859
K Ag Pd Se
2 2 2 4
Direct
0.250 0.750 0.781
0.750 0.250 0.219
0.000 0.000 0.000
0.500 0.500 0.000
0.250 0.250 0.500
0.750 0.750 0.500
0.125 0.875 0.313
0.375 0.625 0.313
0.625 0.375 0.687
0.875 0.125 0.687
```

Output
E, eV/atom: -3.65
Calculated density, g/cm³: 5.46
Formation energy without anion corrections, eV per atom: -0.4241
Symmetry: Cmme (67)
Density of states at the Fermi level, states/eV/f.u.: 2.1

=====

[5]
Entry from Alexandria via LeMat-Bulk: a relaxed KAgTe2Pd crystal (PBE-GGA).

Cell and atoms, written as POSCAR:
```
KAgTe2Pd
1.0
3.114 -6.169 0.000
3.114 6.169 0.000
0.000 0.000 8.339
K Ag Te Pd
2 2 4 2
Direct
0.250 0.750 0.812
0.750 0.250 0.188
0.000 0.000 0.500
0.500 0.500 0.500
0.100 0.900 0.214
0.400 0.600 0.214
0.600 0.400 0.786
0.900 0.100 0.786
0.250 0.250 0.000
0.750 0.750 0.000
```

Output
E, eV/atom: -3.48
Calculated density, g/cm³: 5.27
Formation energy without anion corrections, eV per atom: -0.3901
Symmetry: Cmme (67)
Density of states at the Fermi level, states/eV/f.u.: 2.7

=====

[6]
Entry from Alexandria via LeMat-Bulk: a relaxed KTlAgPd crystal (PBE-GGA).

Cell and atoms, written as POSCAR:
```
KTlAgPd
1.0
8.361 0.000 0.000
0.000 4.830 0.000
-2.811 0.000 5.894
K Tl Ag Pd
2 2 2 2
Direct
0.000 0.000 0.000
0.500 0.500 0.000
0.020 0.500 0.560
0.520 0.000 0.560
0.309 0.500 0.429
0.809 0.000 0.429
0.182 0.000 0.545
0.682 0.500 0.545
```

Output
E, eV/atom: -2.96
E_form, eV per atom: -0.0801
Calculated density, g/cm³: 6.39
Symmetry: Cm (8)
Density of states at the Fermi level, states/eV/f.u.: 2.6

=====

[7]
Entry from Alexandria via LeMat-Bulk: a relaxed KTl2AgPd crystal (PBE-GGA).

Cell and atoms, written as POSCAR:
```
KTl2AgPd
1.0
5.297 0.000 0.000
0.000 5.297 0.000
0.000 0.000 5.461
K Tl Ag Pd
1 2 1 1
Direct
0.000 0.000 0.000
0.000 0.500 0.500
0.500 0.000 0.500
0.500 0.500 0.000
0.500 0.500 0.500
```

Output
E, eV/atom: -2.81
E_form, eV per atom: -0.0366
Calculated density, g/cm³: 7.17
Symmetry: P4/mmm (123)
Density of states at the Fermi level, states/eV/f.u.: 2.1

=====

[8]
Entry from Alexandria via LeMat-Bulk: a relaxed KAg2PdW crystal (PBE-GGA).

Cell and atoms, written as POSCAR:
```
KAg2PdW
1.0
5.163 0.000 0.000
0.000 5.163 0.000
0.000 0.000 4.882
K Ag Pd W
1 2 1 1
Direct
0.000 0.000 0.000
0.000 0.500 0.000
0.500 0.000 0.000
0.000 0.000 0.500
0.500 0.500 0.500
```

Output
E, eV/atom: -2.83
E_form, eV per atom: 2.1544
Calculated density, g/cm³: 6.96
Symmetry: P4/mmm (123)
Density of states at the Fermi level, states/eV/f.u.: 2.7

=====

[9]
Entry from Alexandria via LeMat-Bulk: a relaxed KPmAg2 crystal (PBE-GGA).

Cell and atoms, written as POSCAR:
```
KPmAg2
1.0
3.855 0.000 0.000
0.000 3.855 0.000
0.000 0.000 8.208
K Pm Ag
1 1 2
Direct
0.000 0.000 0.000
0.000 0.000 0.500
0.500 0.500 0.312
0.500 0.500 0.688
```

Output
Distance to the lowest polymorph of the same formula, meV/atom: 0
E, eV/atom: -2.99
E_form, eV per atom: -0.1069
Calculated density, g/cm³: 5.44
Symmetry: P4/mmm (123)
Density of states at the Fermi level, states/eV/f.u.: 1.6

=====

[10]
Entry from Alexandria via LeMat-Bulk: a relaxed KPmAg2 crystal (PBE-GGA).

Cell and atoms, written as POSCAR:
```
KPmAg2
1.0
5.640 0.000 0.000
0.000 5.640 0.000
0.000 0.000 3.497
K Pm Ag
1 1 2
Direct
0.000 0.000 0.000
0.500 0.500 0.000
0.000 0.500 0.500
0.500 0.000 0.500
```

Output
Distance to the lowest polymorph of the same formula, meV/atom: 118
E, eV/atom: -2.88
E_form, eV per atom: 0.0115
Calculated density, g/cm³: 5.97
Symmetry: P4/mmm (123)
Density of states at the Fermi level, states/eV/f.u.: 3.5

=====

[11]
Entry from Alexandria via LeMat-Bulk: a relaxed KPmAg4 crystal (PBE-GGA).

Cell and atoms, written as POSCAR:
```
KPmAg4
1.0
0.000 4.134 4.134
4.134 0.000 4.134
4.134 4.134 0.000
K Pm Ag
1 1 4
Direct
0.000 0.000 0.000
0.750 0.750 0.750
0.375 0.375 0.375
0.375 0.375 0.875
0.375 0.875 0.375
0.875 0.375 0.375
```

Output
E, eV/atom: -2.85
E_form, eV per atom: 0.0289
Calculated density, g/cm³: 7.23
Symmetry: F-43m (216)
Density of states at the Fermi level, states/eV/f.u.: 7.7

=====

[12]
Entry from Alexandria via LeMat-Bulk: a relaxed KPmAgS2 crystal (PBE-GGA).

Cell and atoms, written as POSCAR:
```
KPmAgS2
1.0
7.393 0.000 0.000
0.000 5.078 0.000
-1.366 0.000 7.862
K Pm Ag S
2 2 2 4
Direct
0.000 0.140 0.250
0.000 0.860 0.750
0.500 0.492 0.750
0.500 0.508 0.250
0.500 0.000 0.000
0.500 0.000 0.500
0.255 0.357 0.963
0.255 0.643 0.463
0.745 0.357 0.537
0.745 0.643 0.037
```

Output
E, eV/atom: -4.47
Calculated density, g/cm³: 4.01
Formation energy without anion corrections, eV per atom: -1.0789
Symmetry: P2/c (13)
Density of states at the Fermi level, states/eV/f.u.: 1.5

=====

[13]
Entry from Alexandria via LeMat-Bulk: a relaxed KPmAgSb crystal (PBE-GGA).

Cell and atoms, written as POSCAR:
```
KPmAgSb
1.0
7.762 0.000 0.000
0.000 7.762 0.000
0.000 0.000 7.762
K Pm Ag Sb
4 4 4 4
Direct
0.000 0.000 0.000
0.000 0.500 0.500
0.500 0.000 0.500
0.500 0.500 0.000
0.000 0.000 0.500
0.000 0.500 0.000
0.500 0.000 0.000
0.500 0.500 0.500
0.250 0.250 0.750
0.250 0.750 0.250
0.750 0.250 0.250
0.750 0.750 0.750
0.250 0.250 0.250
0.250 0.750 0.750
0.750 0.250 0.750
0.750 0.750 0.250
```

Output
E, eV/atom: -3.56
Calculated density, g/cm³: 5.88
Formation energy without anion corrections, eV per atom: -0.3511
Symmetry: F-43m (216)
Density of states at the Fermi level, states/eV/f.u.: 1.1

=====

[14]
Entry from Alexandria via LeMat-Bulk: a relaxed KPmAgSe3 crystal (PBE-GGA).

Cell and atoms, written as POSCAR:
```
KPmAgSe3
1.0
2.118 -7.558 0.000
2.118 7.558 0.000
0.000 0.000 11.006
K Pm Ag Se
2 2 2 6
Direct
0.248 0.752 0.750
0.752 0.248 0.250
0.000 0.000 0.000
0.000 0.000 0.500
0.470 0.530 0.250
0.530 0.470 0.750
0.077 0.923 0.250
0.370 0.630 0.057
0.370 0.630 0.443
0.630 0.370 0.557
0.630 0.370 0.943
0.923 0.077 0.750
```

Output
E, eV/atom: -4.30
Calculated density, g/cm³: 4.99
Formation energy without anion corrections, eV per atom: -1.1116
Symmetry: Cmcm (63)
Density of states at the Fermi level, states/eV/f.u.: 6.4

=====

[15]
Entry from Alexandria via LeMat-Bulk: a relaxed KPm2AgSe4 crystal (PBE-GGA).

Cell and atoms, written as POSCAR:
```
KPm2AgSe4
1.0
2.140 -7.154 0.000
2.140 7.154 0.000
0.000 0.000 15.006
K Pm Ag Se
2 4 2 8
Direct
0.119 0.881 0.750
0.881 0.119 0.250
0.368 0.632 0.567
0.368 0.632 0.933
0.632 0.368 0.067
0.632 0.368 0.433
0.159 0.841 0.250
0.841 0.159 0.750
0.000 0.000 0.000
0.000 0.000 0.500
0.267 0.733 0.106
0.267 0.733 0.394
0.449 0.551 0.750
0.551 0.449 0.250
0.733 0.267 0.606
0.733 0.267 0.894
```

Output
E, eV/atom: -4.92
Calculated density, g/cm³: 5.44
Formation energy without anion corrections, eV per atom: -1.4921
Symmetry: Cmcm (63)

=====

[16]
Entry from Alexandria via LeMat-Bulk: a relaxed KPmAgSe2 crystal (PBE-GGA).

Cell and atoms, written as POSCAR:
```
KPmAgSe2
1.0
7.721 0.000 0.000
0.000 5.046 0.000
-1.243 0.000 8.181
K Pm Ag Se
2 2 2 4
Direct
0.000 0.124 0.250
0.000 0.876 0.750
0.500 0.493 0.750
0.500 0.507 0.250
0.500 0.000 0.000
0.500 0.000 0.500
0.248 0.368 0.966
0.248 0.632 0.466
0.752 0.368 0.534
0.752 0.632 0.034
```

Output
E, eV/atom: -4.17
Calculated density, g/cm³: 4.69
Formation energy without anion corrections, eV per atom: -1.0390
Symmetry: P2/c (13)
Density of states at the Fermi level, states/eV/f.u.: 1.4

=====

[17]
Entry from Alexandria via LeMat-Bulk: a relaxed K2PmAg2Se4 crystal (PBE-GGA).

Cell and atoms, written as POSCAR:
```
K2PmAg2Se4
1.0
7.841 -2.107 0.000
7.841 2.107 0.000
-2.702 0.000 7.635
K Pm Ag Se
2 1 2 4
Direct
0.130 0.130 0.064
0.870 0.870 0.936
0.000 0.000 0.500
0.321 0.321 0.515
0.679 0.679 0.485
0.201 0.201 0.701
0.487 0.487 0.747
0.513 0.513 0.253
0.799 0.799 0.299
```

Output
E, eV/atom: -3.97
Calculated density, g/cm³: 4.97
Formation energy without anion corrections, eV per atom: -1.0157
Symmetry: C2/m (12)
Density of states at the Fermi level, states/eV/f.u.: 4.9

=====

[18]
Entry from Alexandria via LeMat-Bulk: a relaxed KPm3Ag2Te6 crystal (PBE-GGA).

Cell and atoms, written as POSCAR:
```
KPm3Ag2Te6
1.0
10.559 -2.299 0.000
10.559 2.299 0.000
-3.357 0.000 9.418
K Pm Ag Te
1 3 2 6
Direct
0.000 0.000 0.000
0.000 0.000 0.500
0.328 0.328 0.158
0.672 0.672 0.842
0.386 0.386 0.528
0.614 0.614 0.472
0.169 0.169 0.610
0.173 0.173 0.055
0.489 0.489 0.267
0.511 0.511 0.733
0.827 0.827 0.945
0.831 0.831 0.390
```

Output
E, eV/atom: -4.38
Calculated density, g/cm³: 5.29
Formation energy without anion corrections, eV per atom: -1.0526
Symmetry: C2/m (12)

=====

[19]
Entry from Alexandria via LeMat-Bulk: a relaxed KPmAgTe3 crystal (PBE-GGA).

Cell and atoms, written as POSCAR:
```
KPmAgTe3
1.0
2.197 -8.272 0.000
2.197 8.272 0.000
0.000 0.000 11.499
K Pm Ag Te
2 2 2 6
Direct
0.244 0.756 0.750
0.756 0.244 0.250
0.000 0.000 0.000
0.000 0.000 0.500
0.473 0.527 0.250
0.527 0.473 0.750
0.082 0.918 0.250
0.369 0.631 0.058
0.369 0.631 0.442
0.631 0.369 0.558
0.631 0.369 0.942
0.918 0.082 0.750
```

Output
E, eV/atom: -3.93
Calculated density, g/cm³: 5.36
Formation energy without anion corrections, eV per atom: -0.9123
Symmetry: Cmcm (63)
Density of states at the Fermi level, states/eV/f.u.: 4.6

=====

[20]
Entry from Alexandria via LeMat-Bulk: a relaxed KPrAg4 crystal (PBE-GGA).

Cell and atoms, written as POSCAR:
```
KPrAg4
1.0
0.000 4.153 4.153
4.153 0.000 4.153
4.153 4.153 0.000
K Pr Ag
1 1 4
Direct
0.000 0.000 0.000
0.750 0.750 0.750
0.375 0.375 0.375
0.375 0.375 0.876
0.375 0.876 0.375
0.876 0.375 0.375
```

Output
E, eV/atom: -2.87
E_form, eV per atom: 0.0133
Calculated density, g/cm³: 7.09
Symmetry: F-43m (216)
Density of states at the Fermi level, states/eV/f.u.: 6.7